Run i
DFT (PBE) results for a relaxed structure of BSO2.

Results
Volume, Å³ per atom: 8.38
DOS(E_F), states/eV/f.u.: 1.0

abc: 6.1350 6.1350 6.1350
angles: 23.98 23.98 23.98
Closest atoms and distances in Å follow each position.
Atoms (fractional coordinates):
O (0.8814, 0.8814, 0.8814)  3 B 1.70
S (0.0000, 0.0000, 0.0000)  2 O 2.12
O (0.1186, 0.1186, 0.1186)  3 B 1.70
B (0.5000, 0.5000, 0.5000)  6 O 1.70

***

Run ii
DFT (PBE) results for a relaxed structure of BSO2.

Results
Volume, Å³ per atom: 9.35
DOS(E_F), states/eV/f.u.: 1.7

abc: 4.5858 4.5858 4.8134
angles: 61.55 61.55 90.00
Closest atoms and distances in Å follow each position.
Atoms (fractional coordinates):
S (0.0000, 0.0000, 0.0000)  4 O 2.44
B (0.2500, 0.7500, 0.5000)  4 O 1.49
O (0.3033, 0.6250, 0.2500)  2 B 1.49
O (0.8750, 0.6967, 0.7500)  2 B 1.49
B (0.5000, 0.5000, 0.0000)  4 O 1.49
S (0.7500, 0.2500, 0.5000)  4 O 2.44
O (0.3750, 0.5533, 0.7500)  2 B 1.49
O (0.4467, 0.1250, 0.2500)  2 B 1.49

***

It is run ii that is most stable; the runner-up trails by 161 meV/atom.

***

Run i
DFT (PBE) results for a relaxed structure of B2SbO.

Results
Volume, Å³ per atom: 12.13
DOS(E_F), states/eV/f.u.: 0.9

abc: 4.4191 4.4191 5.8718
angles: 67.90 67.90 90.00
Closest atoms and distances in Å follow each position.
Atoms (fractional coordinates):
B (0.2237, 0.6250, 0.2500)  2 O 1.79
O (0.5000, 0.5000, 0.0000)  4 B 1.79
Sb (0.0000, 0.0000, 0.0000)  4 B 2.27
Sb (0.7500, 0.2500, 0.5000)  4 B 2.27
B (0.5263, 0.1250, 0.2500)  2 O 1.79
B (0.8750, 0.7763, 0.7500)  2 O 1.79
B (0.3750, 0.4737, 0.7500)  2 O 1.79
O (0.2500, 0.7500, 0.5000)  4 B 1.79

***

Run ii
DFT (PBE) results for a relaxed structure of B2SbO.

Results
Volume, Å³ per atom: 11.98
DOS(E_F), states/eV/f.u.: 3.1

abc: 4.0770 4.0770 4.0770
angles: 60.00 60.00 60.00
Closest atoms and distances in Å follow each position.
Atoms (fractional coordinates):
Sb (0.5000, 0.5000, 0.5000)  8 B 2.50
B (0.7500, 0.7500, 0.7500)  4 O 2.50, 4 Sb 2.50
B (0.2500, 0.2500, 0.2500)  4 Sb 2.50, 4 O 2.50
O (0.0000, 0.0000, 0.0000)  8 B 2.50

***

It is run i that is most stable; the runner-up trails by 1057 meV/atom.

***

Run i
DFT (PBE) results for a relaxed structure of BSb2O.

Results
Volume, Å³ per atom: 14.99
DOS(E_F), states/eV/f.u.: 2.2

abc: 4.3928 4.3928 4.3928
angles: 60.00 60.00 60.00
Closest atoms and distances in Å follow each position.
Atoms (fractional coordinates):
Sb (0.7500, 0.7500, 0.7500)  4 O 2.69, 4 B 2.69
Sb (0.2500, 0.2500, 0.2500)  4 O 2.69, 4 B 2.69
B (0.0000, 0.0000, 0.0000)  8 Sb 2.69
O (0.5000, 0.5000, 0.5000)  8 Sb 2.69

***

Run ii
DFT (PBE) results for a relaxed structure of BSb2O.

Results
Volume, Å³ per atom: 19.49
DOS(E_F), states/eV/f.u.: 1.6

abc: 5.2042 5.2042 6.8336
angles: 67.62 67.62 90.00
Closest atoms and distances in Å follow each position.
Atoms (fractional coordinates):
B (0.2500, 0.7500, 0.5000)  4 Sb 2.34
Sb (0.8750, 0.8753, 0.7500)  2 O 2.34, 2 B 2.34
B (0.5000, 0.5000, 0.0000)  4 Sb 2.34
O (0.7500, 0.2500, 0.5000)  4 Sb 2.34
O (0.0000, 0.0000, 0.0000)  4 Sb 2.34
Sb (0.6253, 0.1250, 0.2500)  2 O 2.34, 2 B 2.34
Sb (0.1247, 0.6250, 0.2500)  2 O 2.34, 2 B 2.34
Sb (0.3750, 0.3747, 0.7500)  2 O 2.34, 2 B 2.34

***

It is run ii that is most stable; the runner-up trails by 368 meV/atom.

***

Run i
DFT (PBE) results for a relaxed structure of BSbO2.

Results
Volume, Å³ per atom: 14.61
DOS(E_F), states/eV/f.u.: 0.9

abc: 6.9207 6.9207 6.9207
angles: 26.57 26.57 26.57
Closest atoms and distances in Å follow each position.
Atoms (fractional coordinates):
B (0.0000, 0.0000, 0.0000)  2 O 1.27
O (0.0633, 0.0633, 0.0633)  1 B 1.27
O (0.9367, 0.9367, 0.9367)  1 B 1.27
Sb (0.5000, 0.5000, 0.5000)  6 O 2.77

***

Run ii
DFT (PBE) results for a relaxed structure of BSbO2.

Results
Volume, Å³ per atom: 10.67
DOS(E_F), states/eV/f.u.: 1.3

abc: 4.9352 4.9352 4.9451
angles: 60.07 60.07 90.00
Closest atoms and distances in Å follow each position.
Atoms (fractional coordinates):
O (0.3750, 0.6250, 0.2500)  2 B 1.51
O (0.3750, 0.6250, 0.7500)  2 B 1.51
Sb (0.7500, 0.2500, 0.5000)  12 O 2.89-2.90, 4 Sb 3.03, 4 B 3.03
O (0.8750, 0.6250, 0.7500)  2 B 1.51
O (0.3750, 0.1250, 0.2500)  2 B 1.51
B (0.2500, 0.7500, 0.5000)  4 O 1.51
B (0.5000, 0.5000, 0.0000)  4 O 1.51
Sb (0.0000, 0.0000, 0.0000)  12 O 2.89-2.90, 4 Sb 3.03, 4 B 3.03

***

It is run ii that is most stable; the runner-up trails by 20 meV/atom.

***

Run i
DFT (PBE) results for a relaxed structure of B3SbO.

Results
Volume, Å³ per atom: 11.08
DOS(E_F), states/eV/f.u.: 4.2

abc: 3.8126 3.8126 3.8126
angles: 90.00 90.00 90.00
Closest atoms and distances in Å follow each position.
Atoms (fractional coordinates):
O (0.0000, 0.0000, 0.0000)  6 B 1.91
B (0.0000, 0.5000, 0.0000)  2 O 1.91
B (0.5000, 0.0000, 0.0000)  2 O 1.91
B (0.0000, 0.0000, 0.5000)  2 O 1.91
Sb (0.5000, 0.5000, 0.5000)  12 B 2.70

***

Run ii
DFT (PBE) results for a relaxed structure of B3SbO.

Results
Volume, Å³ per atom: 17.87
DOS(E_F), states/eV/f.u.: 2.6

abc: 4.4710 4.4710 4.4710
angles: 90.00 90.00 90.00
Closest atoms and distances in Å follow each position.
Atoms (fractional coordinates):
Sb (0.0000, 0.0000, 0.0000)  6 B 2.24
B (0.0000, 0.0000, 0.5000)  2 Sb 2.24
O (0.5000, 0.5000, 0.5000)  12 B 3.16
B (0.5000, 0.0000, 0.0000)  2 Sb 2.24
B (0.0000, 0.5000, 0.0000)  2 Sb 2.24

***

It is run i that is most stable; the runner-up trails by 867 meV/atom.

***

Run i
DFT (PBE) results for a relaxed structure of ScB3O.

Results
Volume, Å³ per atom: 10.22
DOS(E_F), states/eV/f.u.: 4.3

abc: 3.7107 3.7107 3.7107
angles: 90.00 90.00 90.00
Closest atoms and distances in Å follow each position.
Atoms (fractional coordinates):
B (0.0000, 0.0000, 0.5000)  2 O 1.86
B (0.0000, 0.5000, 0.0000)  2 O 1.86
B (0.5000, 0.0000, 0.0000)  2 O 1.86
Sc (0.5000, 0.5000, 0.5000)  12 B 2.62
O (0.0000, 0.0000, 0.0000)  6 B 1.86

***

Run ii
DFT (PBE) results for a relaxed structure of ScB3O.

Results
Volume, Å³ per atom: 18.44
DOS(E_F), states/eV/f.u.: 3.6

abc: 4.5175 4.5175 4.5175
angles: 90.00 90.00 90.00
Closest atoms and distances in Å follow each position.
Atoms (fractional coordinates):
Sc (0.0000, 0.0000, 0.0000)  6 B 2.26
O (0.5000, 0.5000, 0.5000)  12 B 3.19
B (0.0000, 0.5000, 0.0000)  2 Sc 2.26
B (0.5000, 0.0000, 0.0000)  2 Sc 2.26
B (0.0000, 0.0000, 0.5000)  2 Sc 2.26

***

It is run i that is most stable; the runner-up trails by 1516 meV/atom.

***

Run i
DFT (PBE) results for a relaxed structure of Sc2BO.

Results
Volume, Å³ per atom: 18.23
DOS(E_F), states/eV/f.u.: 2.7

abc: 6.8319 6.8319 6.8319
angles: 30.52 30.52 30.52
Closest atoms and distances in Å follow each position.
Atoms (fractional coordinates):
Sc (0.0969, 0.0969, 0.0969)  1 O 1.89
O (0.0000, 0.0000, 0.0000)  2 Sc 1.89
Sc (0.9031, 0.9031, 0.9031)  1 O 1.89
B (0.5000, 0.5000, 0.5000)  6 Sc 2.48

***

Run ii
DFT (PBE) results for a relaxed structure of Sc2BO.

Results
Volume, Å³ per atom: 16.41
DOS(E_F), states/eV/f.u.: 3.1

abc: 5.1023 5.1023 6.2005
angles: 65.70 65.70 90.00
Closest atoms and distances in Å follow each position.
Atoms (fractional coordinates):
Sc (0.6588, 0.1250, 0.2500)  2 O 2.11, 2 B 2.31
B (0.5000, 0.5000, 0.0000)  4 Sc 2.31
B (0.2500, 0.7500, 0.5000)  4 Sc 2.31
O (0.7500, 0.2500, 0.5000)  4 Sc 2.11
Sc (0.8750, 0.9088, 0.7500)  2 O 2.11, 2 B 2.31
O (0.0000, 0.0000, 0.0000)  4 Sc 2.11
Sc (0.0912, 0.6250, 0.2500)  2 O 2.11, 2 B 2.31
Sc (0.3750, 0.3412, 0.7500)  2 O 2.11, 2 B 2.31

***

Run iii
DFT (PBE) results for a relaxed structure of Sc2BO.

Results
Volume, Å³ per atom: 12.77
DOS(E_F), states/eV/f.u.: 2.8

abc: 4.1645 4.1645 4.1645
angles: 60.00 60.00 60.00
Closest atoms and distances in Å follow each position.
Atoms (fractional coordinates):
Sc (0.2500, 0.2500, 0.2500)  4 O 2.55, 4 B 2.55
B (0.0000, 0.0000, 0.0000)  8 Sc 2.55
Sc (0.7500, 0.7500, 0.7500)  4 O 2.55, 4 B 2.55
O (0.5000, 0.5000, 0.5000)  8 Sc 2.55

***

It is run ii that is most stable; the runner-up trails by 98 meV/atom.

***

Run i
DFT (PBE) results for a relaxed structure of BSeO2.

Results
Volume, Å³ per atom: 10.09
DOS(E_F), states/eV/f.u.: 1.5

abc: 3.8505 3.8505 3.8505
angles: 60.00 60.00 60.00
Closest atoms and distances in Å follow each position.
Atoms (fractional coordinates):
O (0.2500, 0.2500, 0.2500)  4 Se 2.36, 4 B 2.36
B (0.0000, 0.0000, 0.0000)  8 O 2.36
O (0.7500, 0.7500, 0.7500)  4 B 2.36, 4 Se 2.36
Se (0.5000, 0.5000, 0.5000)  8 O 2.36

***

Run ii
DFT (PBE) results for a relaxed structure of BSeO2.

Results
Volume, Å³ per atom: 12.62
DOS(E_F), states/eV/f.u.: 2.0

abc: 6.7757 6.7757 6.7757
angles: 25.43 25.43 25.43
Closest atoms and distances in Å follow each position.
Atoms (fractional coordinates):
Se (0.5000, 0.5000, 0.5000)  6 O 2.65
O (0.0644, 0.0644, 0.0644)  1 B 1.27
B (0.0000, 0.0000, 0.0000)  2 O 1.27
O (0.9356, 0.9356, 0.9356)  1 B 1.27

***

It is run ii that is most stable; the runner-up trails by 1900 meV/atom.

***

Run i
DFT (PBE) results for a relaxed structure of B2SeO.

Results
Volume, Å³ per atom: 10.48
DOS(E_F), states/eV/f.u.: 0.0

abc: 4.0326 4.0326 5.8917
angles: 69.99 69.99 90.00
Closest atoms and distances in Å follow each position.
Atoms (fractional coordinates):
B (0.5278, 0.1250, 0.2500)  2 O 1.75
B (0.8750, 0.7778, 0.7500)  2 O 1.75
O (0.5000, 0.5000, 0.0000)  4 B 1.75
Se (0.7500, 0.2500, 0.5000)  4 B 2.15
B (0.2222, 0.6250, 0.2500)  2 O 1.75
O (0.2500, 0.7500, 0.5000)  4 B 1.75
B (0.3750, 0.4722, 0.7500)  2 O 1.75
Se (0.0000, 0.0000, 0.0000)  4 B 2.15

***

Run ii
DFT (PBE) results for a relaxed structure of B2SeO.

Results
Volume, Å³ per atom: 10.09
DOS(E_F), states/eV/f.u.: 2.6

abc: 3.8499 3.8499 3.8499
angles: 60.00 60.00 60.00
Closest atoms and distances in Å follow each position.
Atoms (fractional coordinates):
O (0.0000, 0.0000, 0.0000)  8 B 2.36
B (0.7500, 0.7500, 0.7500)  4 Se 2.36, 4 O 2.36
B (0.2500, 0.2500, 0.2500)  4 O 2.36, 4 Se 2.36
Se (0.5000, 0.5000, 0.5000)  8 B 2.36

***

It is run i that is most stable; the runner-up trails by 1100 meV/atom.

***

Run i
DFT (PBE) results for a relaxed structure of B3SeO.

Results
Volume, Å³ per atom: 13.57
DOS(E_F), states/eV/f.u.: 1.9

abc: 4.0787 4.0787 4.0787
angles: 90.00 90.00 90.00
Closest atoms and distances in Å follow each position.
Atoms (fractional coordinates):
O (0.5000, 0.5000, 0.5000)  12 B 2.88
B (0.5000, 0.0000, 0.0000)  2 Se 2.04
Se (0.0000, 0.0000, 0.0000)  6 B 2.04
B (0.0000, 0.5000, 0.0000)  2 Se 2.04
B (0.0000, 0.0000, 0.5000)  2 Se 2.04

***

Run ii
DFT (PBE) results for a relaxed structure of B3SeO.

Results
Volume, Å³ per atom: 10.53
DOS(E_F), states/eV/f.u.: 3.8

abc: 3.7481 3.7481 3.7481
angles: 90.00 90.00 90.00
Closest atoms and distances in Å follow each position.
Atoms (fractional coordinates):
Se (0.5000, 0.5000, 0.5000)  12 B 2.65
B (0.0000, 0.0000, 0.5000)  2 O 1.87
B (0.0000, 0.5000, 0.0000)  2 O 1.87
B (0.5000, 0.0000, 0.0000)  2 O 1.87
O (0.0000, 0.0000, 0.0000)  6 B 1.87

***

It is run ii that is most stable; the runner-up trails by 538 meV/atom.

***

Run i
DFT (PBE) results for a relaxed structure of SmB2O4.

Results
Volume, Å³ per atom: 13.66
DOS(E_F), states/eV/f.u.: 1.1

abc: 5.2610 5.2610 5.2610
angles: 98.56 98.56 134.62
Closest atoms and distances in Å follow each position.
Atoms (fractional coordinates):
O (0.1585, 0.5033, 0.6619)  2 B 1.49
Sm (0.5000, 0.5000, 0.0000)  4 O 2.34
O (0.8415, 0.4967, 0.3381)  2 B 1.49
O (0.5033, 0.8415, 0.3448)  2 B 1.49
O (0.4967, 0.1585, 0.6552)  2 B 1.49
B (0.2500, 0.7500, 0.5000)  4 O 1.49
B (0.7500, 0.2500, 0.5000)  4 O 1.49

***

Run ii
DFT (PBE) results for a relaxed structure of SmB2O4.

Results
Volume, Å³ per atom: 12.22

abc: 6.3530 6.2626 5.9151
angles: 75.37 57.52 59.52
Closest atoms and distances in Å follow each position.
Atoms (fractional coordinates):
O (0.5140, 0.8335, 0.2814)  2 B 1.41-1.47
O (0.6289, 0.1665, 0.7186)  2 B 1.41-1.47
B (0.7684, 0.8974, 0.6727)  3 O 1.39-1.51
O (0.2797, 0.5715, 0.8579)  1 B 1.34
Sm (0.9448, 0.0000, 0.0000)  4 O 2.35-2.42
Sm (0.7614, 0.5000, 0.5000)  8 O 2.42-2.49
O (0.5881, 0.7702, 0.8534)  2 B 1.40-1.51
B (0.6018, 0.6699, 0.0884)  3 O 1.34-1.41
B (0.3384, 0.1026, 0.3273)  3 O 1.39-1.51
O (0.9092, 0.8159, 0.4095)  1 B 1.39
O (0.2117, 0.2298, 0.1466)  2 B 1.40-1.51
B (0.3601, 0.3301, 0.9116)  3 O 1.34-1.41
O (0.7091, 0.4285, 0.1421)  1 B 1.34
O (0.1345, 0.1841, 0.5905)  1 B 1.39

***

It is run i that is most stable; the runner-up trails by 12 meV/atom.

***

Run i
DFT (PBE) results for a relaxed structure of Sn2BO.

Results
Volume, Å³ per atom: 15.01
DOS(E_F), states/eV/f.u.: 2.3

abc: 4.3956 4.3956 4.3956
angles: 60.00 60.00 60.00
Closest atoms and distances in Å follow each position.
Atoms (fractional coordinates):
Sn (0.2500, 0.2500, 0.2500)  4 O 2.69, 4 B 2.69
Sn (0.7500, 0.7500, 0.7500)  4 O 2.69, 4 B 2.69
B (0.0000, 0.0000, 0.0000)  8 Sn 2.69
O (0.5000, 0.5000, 0.5000)  8 Sn 2.69

***

Run ii
DFT (PBE) results for a relaxed structure of Sn2BO.

Results
Volume, Å³ per atom: 18.21
DOS(E_F), states/eV/f.u.: 2.3

abc: 5.1463 5.1463 6.5958
angles: 67.04 67.04 90.00
Closest atoms and distances in Å follow each position.
Atoms (fractional coordinates):
O (0.7500, 0.2500, 0.5000)  4 Sn 2.30
Sn (0.1305, 0.6250, 0.2500)  2 B 2.26, 2 O 2.30
B (0.2500, 0.7500, 0.5000)  4 Sn 2.26
O (0.0000, 0.0000, 0.0000)  4 Sn 2.30
Sn (0.3750, 0.3805, 0.7500)  2 B 2.26, 2 O 2.30
B (0.5000, 0.5000, 0.0000)  4 Sn 2.26
Sn (0.6195, 0.1250, 0.2500)  2 B 2.26, 2 O 2.30
Sn (0.8750, 0.8695, 0.7500)  2 B 2.26, 2 O 2.30

***

It is run ii that is most stable; the runner-up trails by 619 meV/atom.